# CuNiGeS4 (PBE, relaxed)
# - Spin magnetization: 0.0001 μB per atom
# - Density of states at the Fermi level: 0.443 states/eV per atom
# - Uncorrected energy: -4.72 eV/atom
# - E_form (uncorrected): -0.2943 eV per atom
data_CuNiGeS4
_chemical_formula_sum 'Cu4 Ni4 Ge4 S16'
_cell_length_a 7.0057
_cell_length_b 7.0179
_cell_length_c 9.6837
_cell_angle_alpha 90.00
_cell_angle_beta 90.00
_cell_angle_gamma 90.00
_symmetry_space_group_name_H-M 'I m m a'
_symmetry_Int_Tables_number 74
_symmetry_space_group_name_Hall '-I 2b 2'
loop_
_atom_site_label
_atom_site_fract_x
_atom_site_fract_y
_atom_site_fract_z
Cu1 0.0000 0.2500 0.1328
Ni1 0.2500 0.2500 0.7500
Ge1 0.0000 0.0000 0.5000
S1 0.0000 0.0257 0.7461
S2 0.2414 0.2500 0.5127

=====

# Sc2CuNi5Ge2 (PBE, relaxed)
# - Spin magnetization: 0.0000 μB per atom
# - Density of states at the Fermi level: 0.848 states/eV per atom
# - Uncorrected energy: -5.83 eV/atom
# - Energy of formation: -0.336 eV/atom
data_Sc2CuNi5Ge2
_chemical_formula_sum 'Sc4 Cu2 Ni10 Ge4'
_cell_length_a 9.2097
_cell_length_b 9.2097
_cell_length_c 3.3295
_cell_angle_alpha 90.00
_cell_angle_beta 90.00
_cell_angle_gamma 90.00
_symmetry_space_group_name_H-M 'P 4/m b m'
_symmetry_Int_Tables_number 127
_symmetry_space_group_name_Hall '-P 4 2ab'
loop_
_atom_site_label
_atom_site_fract_x
_atom_site_fract_y
_atom_site_fract_z
Sc1 0.1718 0.3282 0.0000
Cu1 0.0000 0.0000 0.0000
Ni1 0.0000 0.5000 0.5000
Ni2 0.0494 0.8007 0.5000
Ge1 0.1290 0.6290 0.0000

=====

# Sm2CuNi4Ge3 (PBE, relaxed)
# - Spin magnetization: 0.0000 μB per atom
# - Density of states at the Fermi level: 0.818 states/eV per atom
# - Uncorrected energy: -5.65 eV/atom
# - Energy of formation: -0.599 eV/atom
data_Sm2CuNi4Ge3
_chemical_formula_sum 'Sm2 Cu1 Ni4 Ge3'
_cell_length_a 4.1206
_cell_length_b 4.1206
_cell_length_c 9.6279
_cell_angle_alpha 90.00
_cell_angle_beta 90.00
_cell_angle_gamma 90.00
_symmetry_space_group_name_H-M 'P -4 m 2'
_symmetry_Int_Tables_number 115
_symmetry_space_group_name_Hall 'P -4 -2'
loop_
_atom_site_label
_atom_site_fract_x
_atom_site_fract_y
_atom_site_fract_z
Sm1 0.0000 0.5000 0.2460
Cu1 0.5000 0.5000 0.0000
Ni1 0.0000 0.0000 0.5000
Ni2 0.0000 0.5000 0.8719
Ni3 0.5000 0.5000 0.5000
Ge1 0.0000 0.0000 0.0000
Ge2 0.0000 0.5000 0.6281

=====

# Sm2Cu3Ni12Ge (PBE, relaxed)
# - Spin magnetization: 0.0000 μB per atom
# - Density of states at the Fermi level: 1.170 states/eV per atom
# - Uncorrected energy: -5.16 eV/atom
# - Energy of formation: 0.156 eV/atom
data_Sm2Cu3Ni12Ge
_chemical_formula_sum 'Sm6 Cu9 Ni36 Ge3'
_cell_length_a 5.9642
_cell_length_b 5.9642
_cell_length_c 25.6583
_cell_angle_alpha 90.00
_cell_angle_beta 90.00
_cell_angle_gamma 120.00
_symmetry_space_group_name_H-M 'R -3 m'
_symmetry_Int_Tables_number 166
_symmetry_space_group_name_Hall '-R 3 2"'
loop_
_atom_site_label
_atom_site_fract_x
_atom_site_fract_y
_atom_site_fract_z
Sm1 0.0000 0.0000 0.1495
Cu1 0.0000 0.5000 0.0000
Ni1 0.0471 0.5235 0.0964
Ni2 0.0741 0.5370 0.6166
Ge1 0.0000 0.0000 0.5000

=====

# Sm3Cu2Ni9Ge (PBE, relaxed)
# - Spin magnetization: 0.0000 μB per atom
# - Density of states at the Fermi level: 0.706 states/eV per atom
# - Uncorrected energy: -5.33 eV/atom
# - Energy of formation: -0.067 eV/atom
data_Sm3Cu2Ni9Ge
_chemical_formula_sum 'Sm3 Cu2 Ni9 Ge1'
_cell_length_a 5.1786
_cell_length_b 5.1786
_cell_length_c 11.1082
_cell_angle_alpha 90.00
_cell_angle_beta 90.00
_cell_angle_gamma 120.00
_symmetry_space_group_name_H-M 'P -3 m 1'
_symmetry_Int_Tables_number 164
_symmetry_space_group_name_Hall '-P 3 2"'
loop_
_atom_site_label
_atom_site_fract_x
_atom_site_fract_y
_atom_site_fract_z
Sm1 0.0000 0.0000 0.0000
Sm2 0.3333 0.6667 0.7599
Cu1 0.3333 0.6667 0.1706
Ni1 0.0000 0.5000 0.0000
Ni2 0.1756 0.3513 0.3487
Ge1 0.0000 0.0000 0.5000

=====

# SmCuNiGe2 (PBE, relaxed)
# - Spin magnetization: 0.0000 μB per atom
# - Density of states at the Fermi level: 0.526 states/eV per atom
# - Uncorrected energy: -5.37 eV/atom
# - Energy of formation: -0.607 eV/atom
data_SmCuNiGe2
_chemical_formula_sum 'Sm2 Cu2 Ni2 Ge4'
_cell_length_a 4.1163
_cell_length_b 4.1163
_cell_length_c 10.0754
_cell_angle_alpha 90.00
_cell_angle_beta 90.00
_cell_angle_gamma 90.00
_symmetry_space_group_name_H-M 'I -4 m 2'
_symmetry_Int_Tables_number 119
_symmetry_space_group_name_Hall 'I -4 -2'
loop_
_atom_site_label
_atom_site_fract_x
_atom_site_fract_y
_atom_site_fract_z
Sm1 0.0000 0.0000 0.0000
Cu1 0.0000 0.5000 0.2500
Ni1 0.0000 0.5000 0.7500
Ge1 0.0000 0.0000 0.3746